TaSb2WO | GGA+U | relaxed

Values from the calculation:
For the density, the calculation gives 9.187 g cm⁻³. For the uncorrected energy, the calculation gives -30.3 eV/cell. Its size of the total moment is 0.55 μB per atom. The space-group type is P4/mmm (123).

Lattice parameters (Å, degrees): 5.494 5.494 3.739 90.00 90.00 90.00
Sites, in units of the cell vectors:
Ta: 0.000 0.000 0.000
Sb: 0.000 0.500 0.500
Sb: 0.500 0.000 0.500
W: 0.500 0.500 0.500
O: 0.500 0.500 0.000